Compound: YPdNO2
Source: the Alexandria database
Functional: PBEsol
Structure: optimized geometry

Results
As for the space group: No. 123. The calculation puts the final energy at -6.366 eV/atom. Its energy relative to the elements, uncorrected is 0.00 eV/atom. The size of the total moment is 0.806 μB per atom.

a b c (Å): 4.255 4.255 4.473
angles (deg): 90.00 90.00 90.00
Atoms (fractional coordinates):
Y 0.000 0.000 0.000
Pd 0.500 0.500 0.500
N 0.000 0.000 0.500
O 0.500 0.000 0.000
O 0.000 0.500 0.000